Entry 1:
DFT (PBE) results for an optimized crystal structure of K2RbCdH5.

Cell: 7.6921 7.6921 8.0481 Å, 118.55 118.55 90.00°
Element x y z (fractional)
H (0.7124, 0.2124, 0.6914)
Rb (0.7500, 0.7500, 0.5000)
K (0.1812, 0.3188, 0.0000)
H (0.9789, 0.4789, 0.6914)
H (0.4789, 0.7124, 0.6914)
Rb (0.2500, 0.2500, 0.5000)
H (0.5211, 0.2876, 0.3086)
H (0.0211, 0.5211, 0.3086)
Cd (0.2500, 0.7500, 0.5000)
H (0.2124, 0.9789, 0.6914)
H (0.7876, 0.0211, 0.3086)
H (0.5000, 0.5000, 0.0000)
K (0.3188, 0.8188, 0.0000)
K (0.6812, 0.1812, 0.0000)
H (0.2876, 0.7876, 0.3086)
Cd (0.7500, 0.2500, 0.5000)
K (0.8188, 0.6812, 0.0000)
H (0.0000, 0.0000, 0.0000)

Summary:
E_tot	-45.0	eV per cell
DOS at the Fermi energy	0.0000	states/eV per atom
space group	I4/mcm, No. 140
M_tot	0.00	Bohr magnetons per cell


Entry 2:
DFT (PBE) results for an optimized crystal structure of Ca2MgSi.

Cell: 4.9540 4.9540 4.1396 Å, 90.00 90.00 90.00°
Element x y z (fractional)
Ca (0.5000, 0.5000, 0.0000)
Mg (0.5000, 0.0000, 0.5000)
Si (0.0000, 0.5000, 0.5000)
Ca (0.0000, 0.0000, 0.0000)

Summary:
E_tot	-11.9	eV per cell
DOS at the Fermi energy	0.2525	states/eV per atom
space group	P4/mmm, No. 123
M_tot	0.00	Bohr magnetons per cell
ΔE_f (raw)	-0.212	eV per atom


Entry 3:
DFT (PBE) results for an optimized crystal structure of NiHg2H.

Cell: 6.4108 6.4108 5.4569 Å, 54.03 54.03 90.00°
Element x y z (fractional)
Hg (0.5710, 0.1250, 0.2500)
Ni (0.7500, 0.2500, 0.5000)
Hg (0.8750, 0.8210, 0.7500)
Ni (0.0000, 0.0000, 0.0000)
Hg (0.3750, 0.4290, 0.7500)
H (0.2500, 0.7500, 0.5000)
Hg (0.1790, 0.6250, 0.2500)
H (0.5000, 0.5000, 0.0000)

Summary:
polymorph energy (0 for the lowest one)	0	meV per atom
E_tot	-15.3	eV per cell
DOS at the Fermi energy	0.4988	states/eV per atom
space group	I-42d, No. 122
M_tot	0.00	Bohr magnetons per cell


Entry 4:
DFT (PBE) results for an optimized crystal structure of Sb3Pt.

Cell: 3.7967 3.6432 7.4333 Å, 90.00 90.00 90.00°
Element x y z (fractional)
Sb (0.5000, 0.5000, 0.8680)
Pt (0.0000, 0.0000, 0.0030)
Sb (0.0000, 0.5000, 0.2806)
Sb (0.5000, 0.0000, 0.5151)

Summary:
polymorph energy (0 for the lowest one)	204	meV per atom
E_tot	-18.4	eV per cell
DOS at the Fermi energy	0.4883	states/eV per atom
space group	Pmm2, No. 25
M_tot	0.00	Bohr magnetons per cell
ΔE_f (raw)	0.003	eV per atom


Entry 5:
DFT (PBE) results for an optimized crystal structure of NaMg3Hg2.

Cell: 4.9950 6.2815 8.6139 Å, 90.00 90.00 90.00°
Element x y z (fractional)
Hg (0.0000, 0.2513, 0.6761)
Mg (0.0000, 0.4992, 0.9987)
Mg (0.0000, 0.7528, 0.6685)
Mg (0.5000, 0.2471, 0.8385)
Mg (0.0000, 0.2528, 0.3315)
Hg (0.5000, 0.2487, 0.1645)
Hg (0.0000, 0.7513, 0.3239)
Mg (0.0000, 0.9992, 0.0013)
Hg (0.5000, 0.7487, 0.8355)
Na (0.5000, 0.0009, 0.4990)
Na (0.5000, 0.5009, 0.5010)
Mg (0.5000, 0.7471, 0.1615)

Summary:
polymorph energy (0 for the lowest one)	0	meV per atom
formation enthalpy at 0 K	-0.19	eV/atom
E_tot	-15.7	eV per cell
DOS at the Fermi energy	0.2579	states/eV per atom
space group	Pmc2_1, No. 26
M_tot	0.00	Bohr magnetons per cell


Entry 6:
DFT (PBE) results for an optimized crystal structure of SrAg2Os.

Cell: 2.8792 4.3725 6.4482 Å, 90.00 90.00 90.00°
Element x y z (fractional)
Sr (0.5000, 0.5000, 0.7500)
Ag (0.0000, 0.0000, 0.4566)
Ag (0.0000, 0.0000, 0.0434)
Os (0.5000, 0.5000, 0.2500)

Summary:
polymorph energy (0 for the lowest one)	29	meV per atom
formation enthalpy at 0 K	0.63	eV/atom
E_tot	-16.1	eV per cell
DOS at the Fermi energy	0.9255	states/eV per atom
space group	Pmmm, No. 47
M_tot	0.00	Bohr magnetons per cell


Entry 7:
DFT (PBE) results for an optimized crystal structure of LaI2OF.

Cell: 6.6037 6.6037 4.2411 Å, 90.00 90.00 90.00°
Site moments in Bohr magnetons follow the coordinates.
Element x y z (fractional)
I (0.5000, 0.0000, 0.0000)  -0.37
O (0.0000, 0.0000, 0.5000)  -0.04
F (0.5000, 0.5000, 0.5000)  -0.49
La (0.0000, 0.0000, 0.0000)  -0.01
I (0.0000, 0.5000, 0.0000)  -0.37

Summary:
polymorph energy (0 for the lowest one)	0	meV per atom
E_tot	-20.9	eV per cell
DOS at the Fermi energy	1.7390	states/eV per atom
space group	P4/mmm, No. 123
M_tot	1.77	Bohr magnetons per cell
ΔE_f (raw)	-1.204	eV per atom


Entry 8:
DFT (PBE) results for an optimized crystal structure of BC3.

Cell: 4.5266 4.5266 4.6273 Å, 97.86 97.86 31.92°
Element x y z (fractional)
C (0.3158, 0.3158, 0.4299)
C (0.4967, 0.4967, 0.5076)
C (0.0530, 0.0530, 0.6846)
B (0.2424, 0.2424, 0.7353)
C (0.7595, 0.7595, 0.2529)
B (0.5701, 0.5701, 0.2022)
C (0.9926, 0.9926, 0.9810)
C (0.8199, 0.8199, 0.9565)

Summary:
polymorph energy (0 for the lowest one)	38	meV per atom
formation enthalpy at 0 K	0.28	eV/atom
E_tot	-66.5	eV per cell
DOS at the Fermi energy	0.1174	states/eV per atom
space group	C2/m, No. 12
M_tot	0.00	Bohr magnetons per cell